VASP calculation (PBE) on Zr2CdHg2 after structural relaxation.

Computed properties:
Magnetization ... 0.00 μB per cell
V ... 111 Å³ per cell
Energy of formation from the pure elements ... -61 meV/atom
ΔE to the lowest computed polymorph ... 0.037 eV per atom

Cell: 5.8061 5.8061 8.0584 Å, 129.65 129.65 33.09°
Atoms (fractional coordinates):
Zr 0.1021 0.1021 0.4090
Zr 0.8979 0.8979 0.5910
Cd 0.5000 0.5000 0.0000
Hg 0.2937 0.2937 0.1964
Hg 0.7063 0.7063 0.8036


VASP calculation (PBE) on ZrCd3Hg2 after structural relaxation.

Computed properties:
Magnetization ... 0.00 μB per cell
V ... 278 Å³ per cell
Energy of formation from the pure elements ... 70 meV/atom

Cell: 8.2940 8.2940 5.6641 Å, 90.00 90.00 134.48°
Atoms (fractional coordinates):
Zr 0.1446 0.8554 0.7500
Zr 0.8554 0.1446 0.2500
Cd 0.0722 0.4351 0.7500
Cd 0.3484 0.6516 0.2500
Cd 0.4351 0.0722 0.2500
Cd 0.5649 0.9278 0.7500
Cd 0.6516 0.3484 0.7500
Cd 0.9278 0.5649 0.2500
Hg 0.2432 0.2432 0.0000
Hg 0.2432 0.2432 0.5000
Hg 0.7568 0.7568 0.0000
Hg 0.7568 0.7568 0.5000


VASP calculation (PBE) on Zr2CdHg2 after structural relaxation.

Computed properties:
Magnetization ... 0.00 μB per cell
V ... 108 Å³ per cell
Energy of formation from the pure elements ... -98 meV/atom
ΔE to the lowest computed polymorph ... 0.000 eV per atom

Cell: 7.7867 7.7867 3.0855 Å, 90.00 90.00 144.68°
Atoms (fractional coordinates):
Zr 0.1075 0.8925 0.0000
Zr 0.8925 0.1075 0.0000
Cd 0.5000 0.5000 0.5000
Hg 0.3040 0.6960 0.5000
Hg 0.6960 0.3040 0.5000


VASP calculation (PBE) on Zr3CdHg3 after structural relaxation.

Computed properties:
Magnetization ... 0.00 μB per cell
V ... 312 Å³ per cell
Energy of formation from the pure elements ... -61 meV/atom
ΔE to the lowest computed polymorph ... 0.000 eV per atom

Cell: 7.0449 7.0449 7.0449 Å, 73.24 73.24 73.24°
Atoms (fractional coordinates):
Zr 0.1846 0.6096 0.4503
Zr 0.3904 0.5497 0.8154
Zr 0.4503 0.1846 0.6096
Zr 0.5497 0.8154 0.3904
Zr 0.6096 0.4503 0.1846
Zr 0.8154 0.3904 0.5497
Cd 0.2449 0.2449 0.2449
Cd 0.7551 0.7551 0.7551
Hg 0.0419 0.3296 0.8804
Hg 0.1196 0.9581 0.6704
Hg 0.3296 0.8804 0.0419
Hg 0.6704 0.1196 0.9581
Hg 0.8804 0.0419 0.3296
Hg 0.9581 0.6704 0.1196


VASP calculation (PBE) on Zr2Cd3Hg4 after structural relaxation.

Computed properties:
Magnetization ... 0.00 μB per cell
V ... 415 Å³ per cell
Energy of formation from the pure elements ... 52 meV/atom
ΔE to the lowest computed polymorph ... 0.000 eV per atom

Cell: 9.2429 9.2429 5.1399 Å, 95.57 95.57 72.01°
Atoms (fractional coordinates):
Zr 0.0946 0.3410 0.3669
Zr 0.3410 0.0946 0.8669
Zr 0.6590 0.9054 0.1331
Zr 0.9054 0.6590 0.6331
Cd 0.1397 0.8603 0.7500
Cd 0.2152 0.4556 0.9010
Cd 0.4556 0.2152 0.4010
Cd 0.5444 0.7848 0.5990
Cd 0.7848 0.5444 0.0990
Cd 0.8603 0.1397 0.2500
Hg 0.0055 0.7645 0.1729
Hg 0.2355 0.9945 0.3271
Hg 0.3005 0.5615 0.4405
Hg 0.4385 0.6995 0.0595
Hg 0.5615 0.3005 0.9405
Hg 0.6995 0.4385 0.5595
Hg 0.7645 0.0055 0.6729
Hg 0.9945 0.2355 0.8271


VASP calculation (PBE) on ZrCd8Hg6 after structural relaxation.

Computed properties:
Magnetization ... 0.00 μB per cell
V ... 381 Å³ per cell
Energy of formation from the pure elements ... 74 meV/atom

Cell: 7.8231 7.8231 7.8231 Å, 65.81 65.81 65.81°
Atoms (fractional coordinates):
Zr 0.0000 0.0000 0.0000
Cd 0.1324 0.7457 0.4410
Cd 0.2543 0.5590 0.8676
Cd 0.3379 0.3379 0.3379
Cd 0.4410 0.1324 0.7457
Cd 0.5590 0.8676 0.2543
Cd 0.6621 0.6621 0.6621
Cd 0.7457 0.4410 0.1324
Cd 0.8676 0.2543 0.5590
Hg 0.0443 0.3990 0.7597
Hg 0.2403 0.9557 0.6010
Hg 0.3990 0.7597 0.0443
Hg 0.6010 0.2403 0.9557
Hg 0.7597 0.0443 0.3990
Hg 0.9557 0.6010 0.2403


VASP calculation (PBE) on Zr5CdHg2 after structural relaxation.

Computed properties:
Magnetization ... 0.00 μB per cell
V ... 176 Å³ per cell
Energy of formation from the pure elements ... -126 meV/atom

Cell: 9.3945 9.3945 9.3945 Å, 152.54 152.54 39.23°
Atoms (fractional coordinates):
Zr 0.0000 0.0000 0.0000
Zr 0.1263 0.6263 0.5000
Zr 0.3737 0.8737 0.5000
Zr 0.6263 0.1263 0.5000
Zr 0.8737 0.3737 0.5000
Cd 0.5000 0.5000 0.0000
Hg 0.2520 0.2520 0.0000
Hg 0.7480 0.7480 0.0000


VASP calculation (PBE) on ZrCd2Hg2 after structural relaxation.

Computed properties:
Magnetization ... 0.00 μB per cell
V ... 111 Å³ per cell
Energy of formation from the pure elements ... -20 meV/atom
ΔE to the lowest computed polymorph ... 0.025 eV per atom

Cell: 6.2487 6.2487 6.2487 Å, 45.02 45.02 45.02°
Atoms (fractional coordinates):
Zr 0.0000 0.0000 0.0000
Cd 0.1994 0.1994 0.1994
Cd 0.8006 0.8006 0.8006
Hg 0.3994 0.3994 0.3994
Hg 0.6006 0.6006 0.6006


VASP calculation (PBE) on Zr3Cd2Hg6 after structural relaxation.

Computed properties:
Magnetization ... 0.00 μB per cell
V ... 291 Å³ per cell
Energy of formation from the pure elements ... 155 meV/atom

Cell: 13.7161 13.7161 13.7161 Å, 160.38 160.38 27.88°
Atoms (fractional coordinates):
Zr 0.0000 0.0000 0.0000
Zr 0.1352 0.1352 0.0000
Zr 0.8648 0.8648 0.0000
Cd 0.3539 0.3539 0.0000
Cd 0.6461 0.6461 0.0000
Hg 0.0673 0.5673 0.5000
Hg 0.2446 0.2446 0.0000
Hg 0.4327 0.9327 0.5000
Hg 0.5673 0.0673 0.5000
Hg 0.7554 0.7554 0.0000
Hg 0.9327 0.4327 0.5000


VASP calculation (PBE) on Ho2Cd after structural relaxation.

Computed properties:
Magnetization ... 1.33 μB per cell
V ... 172 Å³ per cell
Energy of formation from the pure elements ... -9 meV/atom

Cell: 14.8381 14.8381 14.8381 Å, 166.74 166.74 18.80°
Atoms (fractional coordinates):
Ho 0.3022 0.5522 0.7500
Ho 0.4478 0.6978 0.7500
Ho 0.5522 0.3022 0.2500
Ho 0.6978 0.4478 0.2500
Cd 0.1250 0.8750 0.2500
Cd 0.8750 0.1250 0.7500


VASP calculation (PBE) on Ho3Cd after structural relaxation.

Computed properties:
Magnetization ... 0.50 μB per cell
V ... 121 Å³ per cell
Energy of formation from the pure elements ... 100 meV/atom
ΔE to the lowest computed polymorph ... 0.243 eV per atom

Cell: 3.4274 3.4290 10.2792 Å, 90.00 90.00 90.00°
Atoms (fractional coordinates):
Ho 0.0000 0.0000 0.0000
Ho 0.0000 0.5000 0.4670
Ho 0.5000 0.5000 0.7598
Cd 0.5000 0.0000 0.2621


VASP calculation (PBE) on Ho2Cd after structural relaxation.

Computed properties:
Magnetization ... 0.00 μB per cell
V ... 167 Å³ per cell
Energy of formation from the pure elements ... -193 meV/atom

Cell: 3.5948 3.5948 12.9126 Å, 90.00 90.00 90.00°
Atoms (fractional coordinates):
Ho 0.0000 0.0000 0.0000
Ho 0.0000 0.0000 0.3100
Ho 0.0000 0.0000 0.6900
Ho 0.5000 0.5000 0.5000
Cd 0.5000 0.5000 0.1532
Cd 0.5000 0.5000 0.8468


VASP calculation (PBE) on HoCd2 after structural relaxation.

Computed properties:
Magnetization ... 0.00 μB per cell
V ... 73 Å³ per cell
Energy of formation from the pure elements ... -309 meV/atom

Cell: 4.9713 4.9713 3.4046 Å, 90.00 90.00 120.00°
Atoms (fractional coordinates):
Ho 0.0000 0.0000 0.0000
Cd 0.3333 0.6667 0.5000
Cd 0.6667 0.3333 0.5000


VASP calculation (PBE) on HoCd after structural relaxation.

Computed properties:
Magnetization ... 0.00 μB per cell
V ... 52 Å³ per cell
Energy of formation from the pure elements ... -316 meV/atom

Cell: 3.7285 3.7285 3.7285 Å, 90.00 90.00 90.00°
Atoms (fractional coordinates):
Ho 0.0000 0.0000 0.0000
Cd 0.5000 0.5000 0.5000


VASP calculation (PBE) on HoCd4 after structural relaxation.

Computed properties:
Magnetization ... 0.00 μB per cell
V ... 213 Å³ per cell
Energy of formation from the pure elements ... 663 meV/atom
ΔE to the lowest computed polymorph ... 0.866 eV per atom

Cell: 5.9689 5.9689 5.9689 Å, 90.00 90.00 90.00°
Atoms (fractional coordinates):
Ho 0.0000 0.0000 0.0000
Cd 0.0000 0.0000 0.5000
Cd 0.0000 0.5000 0.0000
Cd 0.5000 0.0000 0.0000
Cd 0.5000 0.5000 0.5000


VASP calculation (PBE) on HoCd2 after structural relaxation.

Computed properties:
Magnetization ... 0.17 μB per cell
V ... 73 Å³ per cell
Energy of formation from the pure elements ... -230 meV/atom

Cell: 6.6122 6.6122 6.6122 Å, 149.85 149.85 43.16°
Atoms (fractional coordinates):
Ho 0.0000 0.0000 0.0000
Cd 0.3261 0.3261 0.0000
Cd 0.6739 0.6739 0.0000


VASP calculation (PBE) on Ho5Cd after structural relaxation.

Computed properties:
Magnetization ... 0.00 μB per cell
V ... 174 Å³ per cell
Energy of formation from the pure elements ... -55 meV/atom
ΔE to the lowest computed polymorph ... 0.015 eV per atom

Cell: 7.8563 7.8563 4.8251 Å, 90.00 90.00 144.13°
Atoms (fractional coordinates):
Ho 0.0000 0.0000 0.0000
Ho 0.1633 0.8367 0.5000
Ho 0.3312 0.6688 0.0000
Ho 0.6688 0.3312 0.0000
Ho 0.8367 0.1633 0.5000
Cd 0.5000 0.5000 0.5000


VASP calculation (PBE) on Ho3Cd after structural relaxation.

Computed properties:
Magnetization ... 0.02 μB per cell
V ... 112 Å³ per cell
Energy of formation from the pure elements ... -85 meV/atom
ΔE to the lowest computed polymorph ... 0.057 eV per atom

Cell: 4.8240 4.8240 4.8240 Å, 90.00 90.00 90.00°
Atoms (fractional coordinates):
Ho 0.0000 0.0000 0.5000
Ho 0.0000 0.5000 0.0000
Ho 0.5000 0.0000 0.0000
Cd 0.5000 0.5000 0.5000


VASP calculation (PBE) on Ho4Cd after structural relaxation.

Computed properties:
Magnetization ... 0.00 μB per cell
V ... 299 Å³ per cell
Energy of formation from the pure elements ... 34 meV/atom
ΔE to the lowest computed polymorph ... 0.143 eV per atom

Cell: 9.3917 9.3917 6.0224 Å, 101.54 101.54 137.52°
Atoms (fractional coordinates):
Ho 0.0542 0.4760 0.7642
Ho 0.0966 0.2646 0.1287
Ho 0.2646 0.0966 0.6287
Ho 0.4760 0.0542 0.2642
Ho 0.5240 0.9458 0.7358
Ho 0.7354 0.9034 0.3713
Ho 0.9034 0.7354 0.8713
Ho 0.9458 0.5240 0.2358
Cd 0.4412 0.5588 0.7500
Cd 0.5588 0.4412 0.2500


VASP calculation (PBE) on Ho8Cd after structural relaxation.

Computed properties:
Magnetization ... 0.00 μB per cell
V ... 269 Å³ per cell
Energy of formation from the pure elements ... 27 meV/atom

Cell: 8.7184 8.7184 8.7184 Å, 92.60 92.60 155.41°
Atoms (fractional coordinates):
Ho 0.0000 0.3370 0.3370
Ho 0.0000 0.6630 0.6630
Ho 0.3370 0.0000 0.3370
Ho 0.3416 0.3416 0.6832
Ho 0.3416 0.6584 0.0000
Ho 0.6584 0.3416 0.0000
Ho 0.6584 0.6584 0.3168
Ho 0.6630 0.0000 0.6630
Cd 0.0000 0.0000 0.0000